The following is a SCAN calculation of a PBEsol-optimized structure of RbAlTcN2, from Alexandria via LeMat-Bulk.

Structure (CIF):
```
data_RbAlTcN2
_chemical_formula_sum 'Rb1 Al1 Tc1 N2'
_space_group_name_H-M_alt 'P 4/m m m'
_space_group_IT_number 123
_space_group_name_Hall '-P 4 2'
_cell_length_a 3.8551
_cell_length_b 3.8551
_cell_length_c 5.2609
_cell_angle_alpha 90.00
_cell_angle_beta 90.00
_cell_angle_gamma 90.00
loop_
_atom_site_label
_atom_site_fract_x
_atom_site_fract_y
_atom_site_fract_z
Rb1 0.0000 0.0000 0.0000
Al1 0.0000 0.0000 0.5000
Tc1 0.5000 0.5000 0.0000
N1 0.0000 0.5000 0.5000
```

Calculated values
* V: 78 Å³ per cell
* crystal system: tetragonal
* E_form (uncorrected): 1.79 eV per atom